The following is a PBE calculation of a geometry-optimized CrMo4Au structure, from Alexandria.

Results
Formation energy   0.48 eV per atom
V   100 Å³ per cell
ρ   10531 kg/m³
Electronic total energy   -8.893 eV/atom

a b c (Å): 5.2059 5.2059 5.2059
angles (deg): 60.00 60.00 60.00
Positions (direct):
Cr (0.0000, 0.0000, 0.0000)
Mo (0.1264, 0.6245, 0.6245)
Mo (0.6245, 0.1264, 0.6245)
Mo (0.6245, 0.6245, 0.1264)
Mo (0.6245, 0.6245, 0.6245)
Au (0.2500, 0.2500, 0.2500)

The following is a PBE calculation of a geometry-optimized CrMoAu2 structure, from Alexandria.

Results
Formation energy   0.41 eV per atom
Energy above the most stable polymorph in this dataset   0.70 eV/f.u.
V   67 Å³ per cell
ρ   13491 kg/m³
Electronic total energy   -6.340 eV/atom

a b c (Å): 9.3618 9.3618 9.3618
angles (deg): 17.77 17.77 17.77
Positions (direct):
Cr (0.0000, 0.0000, 0.0000)
Mo (0.5000, 0.5000, 0.5000)
Au (0.2518, 0.2518, 0.2518)
Au (0.7482, 0.7482, 0.7482)

The following is a PBE calculation of a geometry-optimized CrMoAu structure, from Alexandria.

Results
Formation energy   0.35 eV per atom
Energy above the most stable polymorph in this dataset   0.25 eV/f.u.
V   46 Å³ per cell
ρ   12431 kg/m³
Electronic total energy   -7.556 eV/atom

a b c (Å): 4.8559 4.8559 2.6930
angles (deg): 100.95 100.95 47.88
Positions (direct):
Cr (0.0000, 0.0000, 0.0000)
Mo (0.6407, 0.6407, 0.7744)
Au (0.3250, 0.3250, 0.3835)

The following is a PBE calculation of a geometry-optimized CrMoAu2 structure, from Alexandria.

Results
Formation energy   0.30 eV per atom
Energy above the most stable polymorph in this dataset   0.24 eV/f.u.
V   66 Å³ per cell
ρ   13706 kg/m³
Electronic total energy   -6.456 eV/atom

a b c (Å): 4.9356 4.9356 4.9356
angles (deg): 131.70 131.70 70.70
Positions (direct):
Cr (0.0000, 0.0000, 0.0000)
Mo (0.2500, 0.7500, 0.5000)
Au (0.5000, 0.5000, 0.0000)
Au (0.7500, 0.2500, 0.5000)

The following is a PBE calculation of a geometry-optimized Cr4Mo2Au structure, from Alexandria.

Results
Formation energy   1.52 eV per atom
V   142 Å³ per cell
ρ   6977 kg/m³
Electronic total energy   -7.544 eV/atom

a b c (Å): 7.0464 7.0464 7.0464
angles (deg): 140.21 140.21 57.53
Positions (direct):
Cr (0.0000, 0.5000, 0.5000)
Cr (0.2100, 0.2100, 0.0000)
Cr (0.5000, 0.0000, 0.5000)
Cr (0.7900, 0.7900, 0.0000)
Mo (0.3874, 0.3874, 0.0000)
Mo (0.6126, 0.6126, 0.0000)
Au (0.0000, 0.0000, 0.0000)

The following is a PBE calculation of a geometry-optimized CrMoAu2 structure, from Alexandria.

Results
Formation energy   0.30 eV per atom
Energy above the most stable polymorph in this dataset   0.25 eV/f.u.
V   66 Å³ per cell
ρ   13726 kg/m³
Electronic total energy   -6.452 eV/atom

a b c (Å): 5.3403 5.3403 5.3403
angles (deg): 146.31 128.33 63.11
Positions (direct):
Cr (0.0000, 0.0000, 0.0000)
Mo (0.8095, 0.3095, 0.5000)
Au (0.2481, 0.7481, 0.5000)
Au (0.5290, 0.5290, 0.0000)